<A>
Mg5Sn2: relaxed, PBE-GGA.

Computed properties:
Symmetry ... Cmcm
M_tot ... 0.00 μB per formula unit

Lattice parameters (Å, degrees): 17.3862 17.3862 4.4185 90.00 90.00 165.35
Fractional coordinates of all 14 atoms:
Mg  0.0333  0.9667  0.7500
Mg  0.1071  0.8929  0.2500
Mg  0.2501  0.7499  0.7500
Mg  0.3231  0.6769  0.2500
Mg  0.4652  0.5348  0.7500
Mg  0.5348  0.4652  0.2500
Mg  0.6769  0.3231  0.7500
Mg  0.7499  0.2501  0.2500
Mg  0.8929  0.1071  0.7500
Mg  0.9667  0.0333  0.2500
Sn  0.1924  0.8076  0.2500
Sn  0.4071  0.5929  0.2500
Sn  0.5929  0.4071  0.7500
Sn  0.8076  0.1924  0.7500



<B>
Mg5Sn2: relaxed, PBE-GGA.

Computed properties:
Symmetry ... C2/c
M_tot ... 0.00 μB per formula unit

Lattice parameters (Å, degrees): 7.9384 7.9384 8.1388 94.27 94.27 39.98
Fractional coordinates of all 14 atoms:
Mg  0.0394  0.6789  0.0371
Mg  0.1263  0.4461  0.6811
Mg  0.1973  0.8027  0.7500
Mg  0.3211  0.9606  0.4629
Mg  0.4461  0.1263  0.1811
Mg  0.5539  0.8737  0.8189
Mg  0.6789  0.0394  0.5371
Mg  0.8027  0.1973  0.2500
Mg  0.8737  0.5539  0.3189
Mg  0.9606  0.3211  0.9629
Sn  0.2192  0.6070  0.3944
Sn  0.3930  0.7808  0.1056
Sn  0.6070  0.2192  0.8944
Sn  0.7808  0.3930  0.6056



Ordering by calculated energy gives the sequence <A>, <B>, with the first entry being the most stable.



<A>
MgSn4: relaxed, PBE-GGA.

Computed properties:
Symmetry ... I4/mmm
M_tot ... 0.00 μB per formula unit

Lattice parameters (Å, degrees): 5.8351 5.8351 5.8351 104.67 104.67 119.56
Fractional coordinates of all 5 atoms:
Mg  0.0000  0.0000  0.0000
Sn  0.2950  0.2950  0.5899
Sn  0.2950  0.7050  0.0000
Sn  0.7050  0.2950  0.0000
Sn  0.7050  0.7050  0.4101



<B>
MgSn4: relaxed, PBE-GGA.

Computed properties:
Symmetry ... Pm-3m
M_tot ... 0.00 μB per formula unit

Lattice parameters (Å, degrees): 5.3943 5.3943 5.3943 90.00 90.00 90.00
Fractional coordinates of all 5 atoms:
Mg  0.0000  0.0000  0.0000
Sn  0.0000  0.0000  0.5000
Sn  0.0000  0.5000  0.0000
Sn  0.5000  0.0000  0.0000
Sn  0.5000  0.5000  0.5000



<C>
MgSn4: relaxed, PBE-GGA.

Computed properties:
Symmetry ... P2_1/c
M_tot ... 0.00 μB per formula unit

Lattice parameters (Å, degrees): 6.0702 4.4997 10.8320 90.00 103.34 90.00
Fractional coordinates of all 10 atoms:
Mg  0.0000  0.0000  0.0000
Mg  0.0000  0.5000  0.5000
Sn  0.1302  0.0624  0.7060
Sn  0.1302  0.4376  0.2060
Sn  0.4879  0.7498  0.0860
Sn  0.4879  0.7502  0.5860
Sn  0.5121  0.2498  0.4140
Sn  0.5121  0.2502  0.9140
Sn  0.8698  0.5624  0.7940
Sn  0.8698  0.9376  0.2940



Ordering by calculated energy gives the sequence <A>, <C>, <B>, with the first entry being the most stable.



<A>
Mg7Sn: relaxed, PBE-GGA.

Computed properties:
Symmetry ... Fm-3m
M_tot ... 0.00 μB per formula unit

Lattice parameters (Å, degrees): 6.3849 6.3849 6.3849 60.00 60.00 60.00
Fractional coordinates of all 8 atoms:
Mg  0.0000  0.0000  0.0000
Mg  0.0000  0.0000  0.5000
Mg  0.0000  0.5000  0.0000
Mg  0.0000  0.5000  0.5000
Mg  0.5000  0.0000  0.0000
Mg  0.5000  0.0000  0.5000
Mg  0.5000  0.5000  0.0000
Sn  0.5000  0.5000  0.5000



<B>
Mg7Sn: relaxed, PBE-GGA.

Computed properties:
Symmetry ... I4/mmm
M_tot ... 0.00 μB per formula unit

Lattice parameters (Å, degrees): 9.6269 9.6269 9.6269 153.04 153.04 38.50
Fractional coordinates of all 8 atoms:
Mg  0.0000  0.0000  0.0000
Mg  0.1238  0.6238  0.5000
Mg  0.2480  0.2480  0.0000
Mg  0.3762  0.8762  0.5000
Mg  0.6238  0.1238  0.5000
Mg  0.7520  0.7520  0.0000
Mg  0.8762  0.3762  0.5000
Sn  0.5000  0.5000  0.0000



Ordering by calculated energy gives the sequence <B>, <A>, with the first entry being the most stable.



<A>
Mg4Sn: relaxed, PBE-GGA.

Computed properties:
Symmetry ... Pm-3m
M_tot ... 0.00 μB per formula unit

Lattice parameters (Å, degrees): 5.4309 5.4309 5.4309 90.00 90.00 90.00
Fractional coordinates of all 5 atoms:
Mg  0.0000  0.0000  0.0000
Mg  0.0000  0.5000  0.5000
Mg  0.5000  0.0000  0.5000
Mg  0.5000  0.5000  0.0000
Sn  0.5000  0.5000  0.5000



<B>
Mg4Sn: relaxed, PBE-GGA.

Computed properties:
Symmetry ... Imma
M_tot ... 0.00 μB per formula unit

Lattice parameters (Å, degrees): 8.6626 8.6626 8.6626 147.51 138.24 53.89
Fractional coordinates of all 10 atoms:
Mg  0.0000  0.0000  0.0000
Mg  0.2012  0.1959  0.0053
Mg  0.3095  0.8041  0.5053
Mg  0.3522  0.6022  0.7500
Mg  0.5000  0.0000  0.5000
Mg  0.6478  0.3978  0.2500
Mg  0.6905  0.1959  0.4947
Mg  0.7988  0.8041  0.9947
Sn  0.1379  0.3879  0.7500
Sn  0.8621  0.6121  0.2500



Ordering by calculated energy gives the sequence <B>, <A>, with the first entry being the most stable.



<A>
SrMg3Sn2: relaxed, PBE-GGA.

Computed properties:
Symmetry ... C2/m
M_tot ... 0.00 μB per formula unit

Lattice parameters (Å, degrees): 9.7983 9.7983 11.6348 104.26 104.26 27.22
Fractional coordinates of all 18 atoms:
Sr  0.0000  0.0000  0.0000
Sr  0.1562  0.1562  0.7052
Sr  0.8438  0.8438  0.2948
Mg  0.0412  0.0412  0.3534
Mg  0.2112  0.2112  0.3872
Mg  0.3244  0.3244  0.0283
Mg  0.3779  0.3779  0.7903
Mg  0.5000  0.5000  0.5000
Mg  0.6221  0.6221  0.2097
Mg  0.6756  0.6756  0.9717
Mg  0.7888  0.7888  0.6128
Mg  0.9588  0.9588  0.6466
Sn  0.1977  0.1977  0.1329
Sn  0.3564  0.3564  0.5293
Sn  0.4655  0.4655  0.2097
Sn  0.5345  0.5345  0.7903
Sn  0.6436  0.6436  0.4707
Sn  0.8023  0.8023  0.8671



<B>
SrMg3Sn2: relaxed, PBE-GGA.

Computed properties:
Symmetry ... C2/m
M_tot ... 0.00 μB per formula unit

Lattice parameters (Å, degrees): 9.4523 9.4523 8.7779 116.01 116.01 28.48
Fractional coordinates of all 12 atoms:
Sr  0.1420  0.1420  0.0566
Sr  0.8580  0.8580  0.9434
Mg  0.0480  0.0480  0.3934
Mg  0.3149  0.3149  0.5452
Mg  0.4055  0.4055  0.3278
Mg  0.5945  0.5945  0.6722
Mg  0.6851  0.6851  0.4548
Mg  0.9520  0.9520  0.6066
Sn  0.2067  0.2067  0.7105
Sn  0.4851  0.4851  0.8227
Sn  0.5149  0.5149  0.1773
Sn  0.7933  0.7933  0.2895



Ordering by calculated energy gives the sequence <A>, <B>, with the first entry being the most stable.



<A>
SrMg3Sn: relaxed, PBE-GGA.

Computed properties:
Symmetry ... Pm-3m
M_tot ... 0.00 μB per formula unit

Lattice parameters (Å, degrees): 5.5484 5.5484 5.5484 90.00 90.00 90.00
Fractional coordinates of all 5 atoms:
Sr  0.0000  0.0000  0.0000
Mg  0.0000  0.5000  0.5000
Mg  0.5000  0.0000  0.5000
Mg  0.5000  0.5000  0.0000
Sn  0.5000  0.5000  0.5000



<B>
SrMg3Sn: relaxed, PBE-GGA.

Computed properties:
Symmetry ... Pm-3m
M_tot ... 0.00 μB per formula unit

Lattice parameters (Å, degrees): 6.0311 6.0311 6.0311 90.00 90.00 90.00
Fractional coordinates of all 5 atoms:
Sr  0.0000  0.0000  0.0000
Mg  0.0000  0.0000  0.5000
Mg  0.0000  0.5000  0.0000
Mg  0.5000  0.0000  0.0000
Sn  0.5000  0.5000  0.5000



Ordering by calculated energy gives the sequence <A>, <B>, with the first entry being the most stable.